Entry from Alexandria: an optimized crystal structure of Re2PRh (PBE).

abc: 9.1365 2.8512 4.5349
angles: 90.00 90.15 90.00
Closest atoms and distances in Å follow each position.
Space group Cm (No. 8)
One atom of each set of equivalent atoms:
Re 0.0000 0.0000 0.0000 x2  2 P 2.36
Re 0.2247 0.5000 0.7715 x2  1 P 2.47, 4 Rh 2.70-2.74, 3 Re 2.71-2.72
P 0.4700 0.0000 0.5885 x2  1 Rh 2.29, 3 Re 2.36-2.47
Rh 0.2763 0.0000 0.2674 x2  1 P 2.29

ΔH_f (0 K)	62	meV/atom
density	14.2	g/cm³



Entry from Alexandria: an optimized crystal structure of Tb5GaRh4 (PBE).

abc: 3.4952 3.4952 17.1681
angles: 90.00 90.00 90.00
Closest atoms and distances in Å follow each position.
Space group P4/mmm (No. 123)
One atom of each set of equivalent atoms:
Tb 0.0000 0.0000 0.0000 x1  8 Rh 3.00
Tb 0.0000 0.0000 0.1968 x2  8 Rh 2.99-3.01, 1 Tb 3.34
Tb 0.0000 0.0000 0.3915 x2  4 Rh 2.95, 4 Ga 3.10
Ga 0.5000 0.5000 0.5000 x1  8 Tb 3.10
Rh 0.5000 0.5000 0.0986 x2  8 Tb 2.99-3.00
Rh 0.5000 0.5000 0.2971 x2  8 Tb 2.95-3.01

ΔH_f (0 K)	-788	meV/atom
density	10.1	g/cm³



Entry from Alexandria: an optimized crystal structure of Ta4PtC (PBE).

abc: 6.5876 5.6726 5.3513
angles: 90.00 96.70 90.00
Closest atoms and distances in Å follow each position.
Space group P2_1/c (No. 14)
One atom of each set of equivalent atoms:
Ta 0.1058 0.1397 0.3612 x4  2 C 2.13-2.31
Ta 0.2956 0.6074 0.4206 x4  1 C 2.13
Pt 0.5000 0.0000 0.5000 x2  6 Ta 2.61-2.82
C 0.0000 0.0000 0.0000 x2  6 Ta 2.13-2.31

ΔH_f (0 K)	-110	meV/atom
density	15.6	g/cm³



Entry from Alexandria: an optimized crystal structure of AgSe (PBE).

abc: 8.8725 8.8725 5.2546
angles: 90.00 90.00 90.00
Closest atoms and distances in Å follow each position.
Space group I4/m (No. 87)
One atom of each set of equivalent atoms:
Ag 0.0767 0.2879 0.0000 x8  4 Se 2.56-2.70
Se 0.1450 0.2957 0.5000 x8  4 Ag 2.56-2.70

energy	-50.9	eV for the cell shown
density	6.0	g/cm³



Entry from Alexandria: an optimized crystal structure of Ba2Zn4GaGe3 (PBE).

abc: 4.5207 4.5207 10.8835
angles: 90.00 90.00 90.00
Closest atoms and distances in Å follow each position.
Space group P-4m2 (No. 115)
One atom of each set of equivalent atoms:
Ba 0.0000 0.5000 0.2453 x2  6 Ge 3.44-3.58, 8 Zn 3.47-3.50, 2 Ga 3.58
Zn 0.0000 0.0000 0.0000 x1  4 Ge 2.66
Zn 0.0000 0.5000 0.6297 x2  3 Ge 2.62-2.67, 2 Ga 2.67
Zn 0.5000 0.5000 0.0000 x1  4 Ge 2.66
Ga 0.0000 0.0000 0.5000 x1  4 Zn 2.67
Ge 0.0000 0.5000 0.8706 x2  5 Zn 2.62-2.66
Ge 0.5000 0.5000 0.5000 x1  4 Zn 2.67

ΔH_f (0 K)	-381	meV/atom
density	6.2	g/cm³